! Pu2Pd3Pt2 (PBE-GGA, optimized geometry); values from VASP
! DFT formation energy	-0.248	eV per atom
! crystal system	cubic
! final energy	-58.061	eV per formula unit
! symmetry	I2_13
&SYSTEM
  ibrav = 0, nat = 14, ntyp = 3
/
ATOMIC_SPECIES
Pu 244.00 Pu.upf
Pd 106.42 Pd.upf
Pt 195.08 Pt.upf
CELL_PARAMETERS angstrom
-4.0621 4.0621 4.0621
4.0621 -4.0621 4.0621
4.0621 4.0621 -4.0621
ATOMIC_POSITIONS angstrom
Pu 5.4745 -1.4125 1.4125
Pu 1.4125 5.4745 -1.4125
Pu 2.6496 2.6496 2.6496
Pu -1.4125 1.4125 5.4745
Pd 6.0931 1.8847 0.0000
Pd 2.1774 0.0000 2.0310
Pd 2.0310 2.1774 0.0000
Pd 0.0000 2.0310 2.1774
Pd 1.8847 0.0000 6.0931
Pd 0.0000 6.0931 1.8847
Pt 3.9336 0.1285 -0.1285
Pt 0.1285 0.1285 0.1285
Pt 0.1285 -0.1285 3.9336
Pt -0.1285 3.9336 0.1285

! SrAcCu (PBE-GGA, optimized geometry); values from VASP
! energy above the most stable polymorph in this dataset	207.4	meV per atom
! DFT formation energy	0.135	eV per atom
! crystal system	cubic
! final energy	-9.482	eV per formula unit
! symmetry	F-43m
&SYSTEM
  ibrav = 0, nat = 12, ntyp = 3
/
ATOMIC_SPECIES
Sr 87.62 Sr.upf
Ac 227.00 Ac.upf
Cu 63.55 Cu.upf
CELL_PARAMETERS angstrom
7.5484 0.0000 0.0000
0.0000 7.5484 0.0000
0.0000 0.0000 7.5484
ATOMIC_POSITIONS angstrom
Sr 0.0000 0.0000 0.0000
Sr 0.0000 3.7742 3.7742
Sr 3.7742 0.0000 3.7742
Sr 3.7742 3.7742 0.0000
Ac 0.0000 0.0000 3.7742
Ac 0.0000 3.7742 0.0000
Ac 3.7742 0.0000 0.0000
Ac 3.7742 3.7742 3.7742
Cu 1.8871 1.8871 5.6613
Cu 1.8871 5.6613 1.8871
Cu 5.6613 1.8871 1.8871
Cu 5.6613 5.6613 5.6613

! Pr12Dy3Y (PBE-GGA, optimized geometry); values from VASP
! DFT formation energy	0.012	eV per atom
! crystal system	tetragonal
! final energy	-77.440	eV per formula unit
! symmetry	P4/mmm
&SYSTEM
  ibrav = 0, nat = 16, ntyp = 3
/
ATOMIC_SPECIES
Pr 140.91 Pr.upf
Dy 162.50 Dy.upf
Y 88.91 Y.upf
CELL_PARAMETERS angstrom
5.1998 0.0000 0.0000
0.0000 5.1998 0.0000
0.0000 0.0000 20.7347
ATOMIC_POSITIONS angstrom
Pr 0.0000 0.0000 0.0000
Pr 0.0000 0.0000 5.1771
Pr 0.0000 0.0000 10.3673
Pr 0.0000 0.0000 15.5576
Pr 0.0000 2.5999 2.5896
Pr 0.0000 2.5999 7.7667
Pr 0.0000 2.5999 12.9679
Pr 0.0000 2.5999 18.1451
Pr 2.5999 0.0000 2.5896
Pr 2.5999 0.0000 7.7667
Pr 2.5999 0.0000 12.9679
Pr 2.5999 0.0000 18.1451
Dy 2.5999 2.5999 0.0000
Dy 2.5999 2.5999 5.1807
Dy 2.5999 2.5999 15.5540
Y 2.5999 2.5999 10.3673

! La2MnV (PBE-GGA, optimized geometry); values from VASP
! energy above the most stable polymorph in this dataset	313.4	meV per atom
! DFT formation energy	0.734	eV per atom
! crystal system	tetragonal
! final energy	-25.206	eV per formula unit
! symmetry	I-42d
&SYSTEM
  ibrav = 0, nat = 16, ntyp = 3
/
ATOMIC_SPECIES
La 138.91 La.upf
Mn 54.94 Mn.upf
V 50.94 V.upf
CELL_PARAMETERS angstrom
8.1920 0.0000 0.0000
0.0000 8.1920 0.0000
0.0000 0.0000 6.1733
ATOMIC_POSITIONS angstrom
La 1.9726 2.0480 0.7717
La 2.0480 6.0686 2.3150
La 2.0480 6.2194 5.4016
La 2.1234 2.0480 3.8583
La 6.0686 6.1440 3.8583
La 6.1440 1.9726 5.4016
La 6.1440 2.1234 2.3150
La 6.2194 6.1440 0.7717
Mn 0.0000 0.0000 3.0866
Mn 0.0000 4.0960 4.6300
Mn 4.0960 0.0000 1.5433
Mn 4.0960 4.0960 0.0000
V 0.0000 0.0000 0.0000
V 0.0000 4.0960 1.5433
V 4.0960 0.0000 4.6300
V 4.0960 4.0960 3.0866

! CrSiPt3 (PBE-GGA, optimized geometry); values from VASP
! energy relative to the elements, uncorrected	5.11	eV/f.u.
! energy above the most stable polymorph in this dataset	789.8	meV per atom
! crystal system	cubic
! final energy	-28.055	eV per formula unit
! symmetry	Pm-3m
&SYSTEM
  ibrav = 0, nat = 5, ntyp = 3
/
ATOMIC_SPECIES
Cr 52.00 Cr.upf
Si 28.09 Si.upf
Pt 195.08 Pt.upf
CELL_PARAMETERS angstrom
4.5986 0.0000 0.0000
0.0000 4.5986 0.0000
0.0000 0.0000 4.5986
ATOMIC_POSITIONS angstrom
Cr 0.0000 0.0000 0.0000
Si 2.2993 2.2993 2.2993
Pt 0.0000 0.0000 2.2993
Pt 0.0000 2.2993 0.0000
Pt 2.2993 0.0000 0.0000

! PuSiAu2 (PBE-GGA, optimized geometry); values from VASP
! energy relative to the elements, uncorrected	-0.96	eV/f.u.
! crystal system	trigonal
! final energy	-27.272	eV per formula unit
! symmetry	R-3m
&SYSTEM
  ibrav = 0, nat = 12, ntyp = 3
/
ATOMIC_SPECIES
Pu 244.00 Pu.upf
Si 28.09 Si.upf
Au 196.97 Au.upf
CELL_PARAMETERS angstrom
4.3434 0.0000 0.0000
-2.1717 3.7615 0.0000
0.0000 0.0000 15.5926
ATOMIC_POSITIONS angstrom
Pu 0.0000 0.0000 0.0000
Pu 0.0000 2.5077 10.3951
Pu 2.1717 1.2538 5.1975
Si 0.0000 0.0000 7.7963
Si 0.0000 2.5077 2.5988
Si 2.1717 1.2538 12.9938
Au 0.0000 0.0000 3.4541
Au 0.0000 0.0000 12.1385
Au 0.0000 2.5077 6.9410
Au 0.0000 2.5077 13.8491
Au 2.1717 1.2538 1.7435
Au 2.1717 1.2538 8.6516

! Ge2TePd2 (PBE-GGA, optimized geometry); values from VASP
! energy relative to the elements, uncorrected	-0.81	eV/f.u.
! energy above the most stable polymorph in this dataset	9.4	meV per atom
! crystal system	tetragonal
! final energy	-23.569	eV per formula unit
! symmetry	P4/mbm
&SYSTEM
  ibrav = 0, nat = 10, ntyp = 3
/
ATOMIC_SPECIES
Ge 72.64 Ge.upf
Te 127.60 Te.upf
Pd 106.42 Pd.upf
CELL_PARAMETERS angstrom
7.6490 0.0000 0.0000
0.0000 7.6490 0.0000
0.0000 0.0000 3.2042
ATOMIC_POSITIONS angstrom
Ge 1.1135 2.7110 0.0000
Ge 2.7110 6.5355 0.0000
Ge 4.9380 1.1135 0.0000
Ge 6.5355 4.9380 0.0000
Te 0.0000 0.0000 1.6021
Te 3.8245 3.8245 1.6021
Pd 1.0459 4.8704 1.6021
Pd 2.7786 1.0459 1.6021
Pd 4.8704 6.6031 1.6021
Pd 6.6031 2.7786 1.6021

! CrSiAg (PBE-GGA, optimized geometry); values from VASP
! energy relative to the elements, uncorrected	0.78	eV/f.u.
! energy above the most stable polymorph in this dataset	0.0	meV per atom
! crystal system	cubic
! final energy	-17.120	eV per formula unit
! symmetry	F-43m
&SYSTEM
  ibrav = 0, nat = 12, ntyp = 3
/
ATOMIC_SPECIES
Cr 52.00 Cr.upf
Si 28.09 Si.upf
Ag 107.87 Ag.upf
CELL_PARAMETERS angstrom
5.9014 0.0000 0.0000
0.0000 5.9014 0.0000
0.0000 0.0000 5.9014
ATOMIC_POSITIONS angstrom
Cr 0.0000 0.0000 0.0000
Cr 0.0000 2.9507 2.9507
Cr 2.9507 0.0000 2.9507
Cr 2.9507 2.9507 0.0000
Si 1.4754 1.4754 4.4261
Si 1.4754 4.4261 1.4754
Si 4.4261 1.4754 1.4754
Si 4.4261 4.4261 4.4261
Ag 0.0000 0.0000 2.9507
Ag 0.0000 2.9507 0.0000
Ag 2.9507 0.0000 0.0000
Ag 2.9507 2.9507 2.9507